This record from Alexandria describes a relaxed Ta2HgCl crystal. The functional is PBE.

Output
Magnetization ... 0.000 μB/atom
Raw formation energy ... 446 meV per atom
Energy above the most stable polymorph in this dataset ... 0.470 eV per atom
D(E_F) ... 0.72 states/eV/atom
Volume ... 80.6 Å³/f.u.

a = 3.004 Å, b = 5.111 Å, c = 10.493 Å
α = 90.00°, β = 90.00°, γ = 90.00°
Space group Imm2 (No. 44)
Symmetry-distinct sites (fractional):
Ta (0.000, 0.000, 0.000) (multiplicity 2)
Ta (0.000, 0.500, 0.290) (multiplicity 2)
Hg (0.000, 0.000, 0.497) (multiplicity 2)
Cl (0.000, 0.500, 0.709) (multiplicity 2)